No. 1
Here is a geometry-optimized SbSeCl2 structure from Alexandria via LeMat-Bulk. Energies are from PBE.

Calculated values
* energy relative to the lowest polymorph listed for this composition: 248 kJ/mol of formula units
* energy relative to the elements, uncorrected: 249 meV/atom
* mass density: 4.9 g cm⁻³

Cell lengths 3.7151, 3.7151, 6.6388 Å; angles 90.00, 90.00, 90.00 degrees
Closest atoms and distances in Å follow each position.
Space group P4/mmm (No. 123)
Inequivalent atoms, fractional coordinates:
Sb 0.0000 0.0000 0.0000 [1 per cell]  8 Cl 3.02, 2 Se 3.32
Se 0.0000 0.0000 0.5000 [1 per cell]  8 Cl 3.20, 2 Sb 3.32
Cl 0.5000 0.5000 0.2253 [2 per cell]  1 Cl 2.99, 4 Sb 3.02, 4 Se 3.20


No. 2
Here is a geometry-optimized Ac4AsRuBr2 structure from Alexandria via LeMat-Bulk. Energies are from PBE.

Calculated values
* energy relative to the elements, uncorrected: -1114 meV/atom
* mass density: 7.4 g cm⁻³

Cell lengths 8.0116, 4.3330, 8.2971 Å; angles 90.00, 105.66, 90.00 degrees
Closest atoms and distances in Å follow each position.
Space group P2/m (No. 10)
Inequivalent atoms, fractional coordinates:
Ac 0.2139 0.0000 0.1986 [2 per cell]  2 Ru 2.97, 1 As 3.16
Ac 0.2457 0.5000 0.7983 [2 per cell]  1 Ru 2.91, 2 As 3.13
As 0.5000 0.0000 0.0000 [1 per cell]  6 Ac 3.13-3.16
Ru 0.0000 0.5000 0.0000 [1 per cell]  6 Ac 2.91-2.97
Br 0.0000 0.0000 0.5000 [1 per cell]  6 Ac 3.39-3.47
Br 0.5000 0.5000 0.5000 [1 per cell]  6 Ac 3.61-3.62


No. 3
Here is a geometry-optimized PmCu4Pt2 structure from Alexandria via LeMat-Bulk. Energies are from PBE.

Calculated values
* energy: -4.584 eV per atom
* mass density: 9.2 g cm⁻³

Cell lengths 7.2573, 7.2573, 5.4341 Å; angles 90.00, 90.00, 90.00 degrees
Closest atoms and distances in Å follow each position.
Space group I4/mmm (No. 139)
Inequivalent atoms, fractional coordinates:
Pm 0.0000 0.0000 0.0000 [2 per cell]  8 Cu 3.16
Cu 0.0000 0.2212 0.5000 [8 per cell]  2 Cu 2.27, 2 Pt 2.44
Pt 0.0000 0.5000 0.2500 [4 per cell]  4 Cu 2.44, 2 Pt 2.72


No. 4
Here is a geometry-optimized Nd3HoAs4 structure from Alexandria via LeMat-Bulk. Energies are from PBE.

Calculated values
* energy relative to the lowest polymorph listed for this composition: 3 kJ/mol of formula units
* mass density: 7.0 g cm⁻³

Cell lengths 5.9836, 5.9836, 5.9836 Å; angles 90.00, 90.00, 90.00 degrees
Closest atoms and distances in Å follow each position.
Space group Pm-3m (No. 221)
Inequivalent atoms, fractional coordinates:
Nd 0.0000 0.0000 0.5000 [3 per cell]  6 As 2.99
Ho 0.5000 0.5000 0.5000 [1 per cell]  6 As 2.99
As 0.0000 0.0000 0.0000 [1 per cell]  6 Nd 2.99
As 0.0000 0.5000 0.5000 [3 per cell]  2 Ho 2.99, 4 Nd 2.99


No. 5
Here is a geometry-optimized YZr2Te structure from Alexandria via LeMat-Bulk. Energies are from PBE.

Calculated values
* energy relative to the elements, uncorrected: -299 meV/atom
* mass density: 6.7 g cm⁻³

Cell lengths 10.4177, 3.5678, 5.4992 Å; angles 90.00, 103.12, 90.00 degrees
Closest atoms and distances in Å follow each position.
Space group Cm (No. 8)
Inequivalent atoms, fractional coordinates:
Y 0.0000 0.0000 0.0000 [2 per cell]  7 Zr 3.15-3.39, 3 Te 3.16-3.27
Zr 0.0261 0.5000 0.5264 [2 per cell]  3 Te 3.01-3.32, 3 Zr 3.12-3.25, 4 Y 3.22-3.36
Zr 0.2687 0.5000 0.2831 [2 per cell]  3 Zr 3.12-3.25, 4 Te 3.15-3.41, 3 Y 3.15-3.39
Te 0.2558 0.0000 0.7493 [2 per cell]  5 Zr 3.01-3.32, 3 Y 3.16-3.27


No. 6
Here is a geometry-optimized ReW structure from Alexandria via LeMat-Bulk. Energies are from PBE.

Calculated values
* energy relative to the lowest polymorph listed for this composition: 29 kJ/mol of formula units
* mass density: 19.5 g cm⁻³

Cell lengths 2.7823, 2.7823, 9.4019 Å; angles 90.00, 90.00, 120.00 degrees
Closest atoms and distances in Å follow each position.
Space group P-3m1 (No. 164)
Inequivalent atoms, fractional coordinates:
Re 0.3333 0.6667 0.3846 [2 per cell]  9 Re 2.70-2.78, 3 W 2.87
W 0.3333 0.6667 0.8686 [2 per cell]  9 W 2.78-2.95, 3 Re 2.87